SiIrPd PBE optimized geometry; Fermi-level density of states = 1.0 states/eV/cell; formation energy without anion corrections = -0.5912 eV per atom; SG = No. 216
1.0
0.000 2.838 2.838
2.838 0.000 2.838
2.838 2.838 0.000
Si Ir Pd
1 1 1
Direct
0.000 0.000 0.000
0.750 0.750 0.750
0.250 0.250 0.250